Record 1
Material: InAgH
Method: DFT, PBE-GGA
State: optimized geometry

Output
energy = -16.640 eV for the cell shown
density of states at the Fermi level = 0.2149 states/eV/atom

a = 3.678 Å, b = 4.989 Å, c = 5.788 Å
α = 90.00°, β = 108.27°, γ = 90.00°
Fractional coordinates of all 6 atoms:
In  0.157  0.250  0.314
In  0.843  0.750  0.686
Ag  0.425  0.250  0.850
Ag  0.575  0.750  0.150
H  0.076  0.750  0.151
H  0.924  0.250  0.849


Record 2
Material: VIr2Ru
Method: DFT, PBE-GGA
State: optimized geometry

Output
energy = -69.839 eV for the cell shown
formation energy = 0.299 eV/atom
density of states at the Fermi level = 1.4777 states/eV/atom

a = 9.199 Å, b = 9.199 Å, c = 9.199 Å
α = 156.49°, β = 156.49°, γ = 33.50°
Fractional coordinates of all 8 atoms:
V  0.000  0.000  0.000
V  0.750  0.250  0.500
Ir  0.123  0.625  0.998
Ir  0.375  0.373  0.498
Ir  0.627  0.125  0.002
Ir  0.875  0.877  0.502
Ru  0.250  0.750  0.500
Ru  0.500  0.500  0.000


Question: The highest density of states at the Fermi level belongs to which entry?
Answer: VIr2Ru


Question: What is the density of states at the Fermi level in the second record?
Answer: 1.4777 states/eV/atom